Entry 1:
# Zr7Tl2Bi2 PBE-GGA optimized geometry
data_Zr7Tl2Bi2
_chemical_formula_sum 'Zr7 Tl2 Bi2'
_space_group_name_H-M_alt 'P 1'
_space_group_IT_number 1
_cell_length_a 7.313
_cell_length_b 7.313
_cell_length_c 5.598
_cell_angle_alpha 104.58
_cell_angle_beta 104.58
_cell_angle_gamma 76.55
loop_
_space_group_symop_operation_xyz
'x,y,z'
loop_
_atom_site_label
_atom_site_type_symbol
_atom_site_fract_x
_atom_site_fract_y
_atom_site_fract_z
Zr1 Zr 0.000 0.000 0.000
Zr2 Zr 0.043 0.386 0.269
Zr3 Zr 0.386 0.043 0.269
Zr4 Zr 0.493 0.493 0.736
Zr5 Zr 0.507 0.507 0.264
Zr6 Zr 0.614 0.957 0.731
Zr7 Zr 0.957 0.614 0.731
Tl1 Tl 0.198 0.802 0.500
Tl2 Tl 0.802 0.198 0.500
Bi1 Bi 0.250 0.250 0.823
Bi2 Bi 0.750 0.750 0.177
# Raw total energy, eV per atom: -6.427
# Crystal system: monoclinic
# Magnetization, μB per formula unit: 0.00
# Space group: C2/m
# ΔH_f (0 K), eV per atom: 0.148


Entry 2:
# IrS2NF PBE-GGA optimized geometry
data_IrS2NF
_chemical_formula_sum 'Ir1 S2 N1 F1'
_space_group_name_H-M_alt 'P 1'
_space_group_IT_number 1
_cell_length_a 4.792
_cell_length_b 4.792
_cell_length_c 3.658
_cell_angle_alpha 90.00
_cell_angle_beta 90.00
_cell_angle_gamma 90.00
loop_
_space_group_symop_operation_xyz
'x,y,z'
loop_
_atom_site_label
_atom_site_type_symbol
_atom_site_fract_x
_atom_site_fract_y
_atom_site_fract_z
Ir1 Ir 0.000 0.000 0.000
S1 S 0.000 0.500 0.000
S2 S 0.500 0.000 0.000
N1 N 0.000 0.000 0.500
F1 F 0.500 0.500 0.500
# Raw total energy, eV per atom: -4.820
# Crystal system: tetragonal
# Magnetization, μB per formula unit: 0.00
# Space group: P4/mmm
# Formation energy (no corrections), eV/atom: 0.64
# Energy above the most stable polymorph in this dataset, meV per atom: 0


Entry 3:
# CoTc4C PBE-GGA optimized geometry
data_CoTc4C
_chemical_formula_sum 'Co2 Tc8 C2'
_space_group_name_H-M_alt 'P 1'
_space_group_IT_number 1
_cell_length_a 6.535
_cell_length_b 6.535
_cell_length_c 5.234
_cell_angle_alpha 107.04
_cell_angle_beta 107.04
_cell_angle_gamma 119.30
loop_
_space_group_symop_operation_xyz
'x,y,z'
loop_
_atom_site_label
_atom_site_type_symbol
_atom_site_fract_x
_atom_site_fract_y
_atom_site_fract_z
Co1 Co 0.127 0.873 0.750
Co2 Co 0.873 0.127 0.250
Tc1 Tc 0.111 0.553 0.302
Tc2 Tc 0.206 0.303 0.785
Tc3 Tc 0.303 0.206 0.285
Tc4 Tc 0.447 0.889 0.198
Tc5 Tc 0.553 0.111 0.802
Tc6 Tc 0.697 0.794 0.715
Tc7 Tc 0.794 0.697 0.215
Tc8 Tc 0.889 0.447 0.698
C1 C 0.435 0.565 0.250
C2 C 0.565 0.435 0.750
# Raw total energy, eV per atom: -9.252
# Crystal system: monoclinic
# Magnetization, μB per formula unit: 0.01
# Space group: C2/c
# ΔH_f (0 K), eV per atom: 0.381